No. 1
The following is a PBE-GGA calculation of crystalline Ho2NiCl at its relaxed geometry, from the Alexandria database.

Structure (CIF):
```
data_Ho2NiCl
_chemical_formula_sum 'Ho6 Ni3 Cl3'
_cell_length_a 3.8723
_cell_length_b 3.8723
_cell_length_c 22.1287
_cell_angle_alpha 90.00
_cell_angle_beta 90.00
_cell_angle_gamma 120.00
_space_group_name_H-M_alt 'R 3 m'
_space_group_IT_number 160
_space_group_name_Hall 'R 3 -2"'
loop_
_atom_site_label
_atom_site_fract_x
_atom_site_fract_y
_atom_site_fract_z
_atom_site_occupancy
Ho1 0.0000 0.0000 0.0000 1
Ho2 0.0000 0.0000 0.2039 1
Ni1 0.0000 0.0000 0.6017 1
Cl1 0.0000 0.0000 0.4312 1
```

## Properties
* uncorrected energy: -5.091 eV/atom
* distance to the lowest polymorph of the same formula: 0.0280 eV per atom
* density: 7.4 g cm⁻³


No. 2
The following is a PBE-GGA calculation of crystalline Tl4IBrO at its relaxed geometry, from the Alexandria database.

Structure (CIF):
```
data_Tl4IBrO
_chemical_formula_sum 'Tl8 I2 Br2 O2'
_cell_length_a 6.831
_cell_length_b 7.270
_cell_length_c 10.247
_cell_angle_alpha 90.00
_cell_angle_beta 103.85
_cell_angle_gamma 90.00
_space_group_name_H-M_alt 'P 1 21/m 1'
_space_group_IT_number 11
_space_group_name_Hall '-P 2yb'
loop_
_atom_site_label
_atom_site_fract_x
_atom_site_fract_y
_atom_site_fract_z
_atom_site_occupancy
Tl1 0.182 0.002 0.279 1
Tl2 0.288 0.750 0.969 1
Tl3 0.307 0.250 0.672 1
I1 0.371 0.750 0.593 1
Br1 0.206 0.250 0.986 1
O1 0.357 0.750 0.209 1
```

## Properties
* uncorrected energy: -3.210 eV/atom
* density: 7.0 g cm⁻³


No. 3
The following is a PBE-GGA calculation of crystalline POsPdCl2 at its relaxed geometry, from the Alexandria database.

Structure (CIF):
```
data_POsPdCl2
_chemical_formula_sum 'P1 Os1 Pd1 Cl2'
_cell_length_a 4.717
_cell_length_b 4.717
_cell_length_c 4.851
_cell_angle_alpha 90.00
_cell_angle_beta 90.00
_cell_angle_gamma 90.00
_space_group_name_H-M_alt 'P 4/m m m'
_space_group_IT_number 123
_space_group_name_Hall '-P 4 2'
loop_
_atom_site_label
_atom_site_fract_x
_atom_site_fract_y
_atom_site_fract_z
_atom_site_occupancy
P1 0.000 0.000 0.000 1
Os1 0.500 0.500 0.000 1
Pd1 0.000 0.000 0.500 1
Cl1 0.000 0.500 0.500 1
```

## Properties
* uncorrected energy: -3.837 eV/atom
* distance to the lowest polymorph of the same formula: 0.6120 eV per atom
* density: 6.1 g cm⁻³